Below is an optimized crystal structure of Co2W, with properties calculated at the PBE level.

Calculated values
The space group is I4_1/amd (141). The value obtained for the density of states at the Fermi level is 1.260 states/eV per atom. The value obtained for the energy is -9.009 eV per atom. Its formation energy is 0.046 eV per atom. As for the total moment: 2.08 μB/cell.

```
Co2W
1.0
-0.296 0.655 -3.564
-3.345 -1.423 0.016
-2.427 10.393 3.966
Co W
8 4
Cartesian
-2.515 1.251 -1.415
-1.578 3.696 -1.044
-2.126 5.009 1.097
-4.394 10.331 0.409
-3.943 4.615 -0.679
-3.554 8.373 1.834
-2.966 6.968 -0.328
-0.150 0.332 -1.781
-4.471 5.881 1.452
-0.674 1.588 0.348
-3.123 2.705 0.756
-5.395 8.037 0.070
```